Below is a geometry-optimized InPbN2F structure, with properties calculated at the PBE level.

Geometry as POSCAR:
```
InPbN2F
1.0
4.300 0.000 0.000
0.000 4.300 0.000
0.000 0.000 4.354
In Pb N F
1 1 2 1
direct
0.000 0.000 0.000
0.500 0.500 0.500
0.000 0.500 0.000
0.500 0.000 0.000
0.000 0.000 0.500
```

Summary:
Excess energy over the best structure of this formula in the dataset in meV per atom: 0.0
Crystal system: tetragonal
Space-group type: No. 123
Raw formation energy in eV/atom: 0.291



Below is a geometry-optimized InPbNF2 structure, with properties calculated at the PBE level.

Geometry as POSCAR:
```
InPbNF2
1.0
4.664 0.000 0.000
0.000 4.664 0.000
0.000 0.000 4.490
In Pb N F
1 1 1 2
direct
0.000 0.000 0.000
0.500 0.500 0.500
0.500 0.500 0.000
0.000 0.500 0.500
0.500 0.000 0.500
```

Summary:
Excess energy over the best structure of this formula in the dataset in meV per atom: 344.8
Crystal system: tetragonal
Space-group type: No. 123
Raw formation energy in eV/atom: -0.606



Below is a geometry-optimized InPdNF2 structure, with properties calculated at the PBE level.

Geometry as POSCAR:
```
InPdNF2
1.0
4.671 0.000 0.000
0.000 4.671 0.000
0.000 0.000 3.688
In Pd N F
1 1 1 2
direct
0.000 0.000 0.000
0.500 0.500 0.500
0.500 0.500 0.000
0.000 0.500 0.500
0.500 0.000 0.500
```

Summary:
Excess energy over the best structure of this formula in the dataset in meV per atom: 0.0
Crystal system: tetragonal
Space-group type: No. 123
Raw formation energy in eV/atom: -0.410



Below is a geometry-optimized InPdNF2 structure, with properties calculated at the PBE level.

Geometry as POSCAR:
```
InPdNF2
1.0
4.226 0.000 0.000
0.000 4.226 0.000
0.000 0.000 4.322
In Pd N F
1 1 1 2
direct
0.000 0.000 0.000
0.500 0.500 0.500
0.000 0.000 0.500
0.000 0.500 0.000
0.500 0.000 0.000
```

Summary:
Excess energy over the best structure of this formula in the dataset in meV per atom: 108.0
Crystal system: tetragonal
Space-group type: No. 123
Raw formation energy in eV/atom: -0.302



Below is a geometry-optimized InPtNF2 structure, with properties calculated at the PBE level.

Geometry as POSCAR:
```
InPtNF2
1.0
4.100 0.000 0.000
0.000 4.100 0.000
0.000 0.000 4.475
In Pt N F
1 1 1 2
direct
0.000 0.000 0.000
0.500 0.500 0.500
0.000 0.000 0.500
0.000 0.500 0.000
0.500 0.000 0.000
```

Summary:
Excess energy over the best structure of this formula in the dataset in meV per atom: 420.7
Crystal system: tetragonal
Space-group type: No. 123
Raw formation energy in eV/atom: -0.011



Below is a geometry-optimized InPtN2F structure, with properties calculated at the PBE level.

Geometry as POSCAR:
```
InPtN2F
1.0
3.753 0.000 0.000
0.000 3.753 0.000
0.000 0.000 6.721
In Pt N F
1 1 2 1
direct
0.000 0.000 0.000
0.500 0.500 0.500
0.000 0.500 0.500
0.500 0.000 0.500
0.500 0.500 0.000
```

Summary:
Excess energy over the best structure of this formula in the dataset in meV per atom: 0.0
Crystal system: tetragonal
Space-group type: No. 123
Raw formation energy in eV/atom: 0.405



Below is a geometry-optimized InPtNF2 structure, with properties calculated at the PBE level.

Geometry as POSCAR:
```
InPtNF2
1.0
4.767 0.000 0.000
0.000 4.767 0.000
0.000 0.000 3.672
In Pt N F
1 1 1 2
direct
0.000 0.000 0.000
0.500 0.500 0.500
0.500 0.500 0.000
0.000 0.500 0.500
0.500 0.000 0.500
```

Summary:
Excess energy over the best structure of this formula in the dataset in meV per atom: 0.0
Crystal system: tetragonal
Space-group type: No. 123
Raw formation energy in eV/atom: -0.432



Below is a geometry-optimized InPtN2F structure, with properties calculated at the PBE level.

Geometry as POSCAR:
```
InPtN2F
1.0
4.255 0.000 0.000
0.000 4.255 0.000
0.000 0.000 4.031
In Pt N F
1 1 2 1
direct
0.000 0.000 0.000
0.500 0.500 0.500
0.000 0.500 0.000
0.500 0.000 0.000
0.000 0.000 0.500
```

Summary:
Excess energy over the best structure of this formula in the dataset in meV per atom: 808.5
Crystal system: tetragonal
Space-group type: No. 123
Raw formation energy in eV/atom: 1.213



Below is a geometry-optimized RbInN2F structure, with properties calculated at the PBE level.

Geometry as POSCAR:
```
RbInN2F
1.0
4.411 0.000 0.000
0.000 4.411 0.000
0.000 0.000 4.774
Rb In N F
1 1 2 1
direct
0.000 0.000 0.000
0.500 0.500 0.500
0.000 0.500 0.500
0.500 0.000 0.500
0.500 0.500 0.000
```

Summary:
Excess energy over the best structure of this formula in the dataset in meV per atom: 0.0
Crystal system: tetragonal
Space-group type: No. 123
Raw formation energy in eV/atom: 0.123



Below is a geometry-optimized Rb2InNF6 structure, with properties calculated at the PBE level.

Geometry as POSCAR:
```
Rb2InNF6
1.0
-2.860 2.860 5.261
2.860 -2.860 5.261
2.860 2.860 -5.261
Rb In N F
2 1 1 6
direct
0.250 0.750 0.500
0.750 0.250 0.500
0.000 0.000 0.000
0.500 0.500 0.000
0.196 0.196 0.000
0.263 0.263 0.526
0.263 0.737 0.000
0.737 0.263 0.000
0.737 0.737 0.474
0.804 0.804 0.000
```

Summary:
Crystal system: tetragonal
Space-group type: No. 139
Raw formation energy in eV/atom: -1.663



Below is a geometry-optimized RbInN2F structure, with properties calculated at the PBE level.

Geometry as POSCAR:
```
RbInN2F
1.0
5.476 0.000 0.000
0.000 5.476 0.000
0.000 0.000 5.075
Rb In N F
1 1 2 1
direct
0.000 0.000 0.000
0.500 0.500 0.500
0.000 0.500 0.000
0.500 0.000 0.000
0.000 0.000 0.500
```

Summary:
Excess energy over the best structure of this formula in the dataset in meV per atom: 1043.6
Crystal system: tetragonal
Space-group type: No. 123
Raw formation energy in eV/atom: 1.167



Below is a geometry-optimized InReNF2 structure, with properties calculated at the PBE level.

Geometry as POSCAR:
```
InReNF2
1.0
4.400 0.000 0.000
0.000 4.400 0.000
0.000 0.000 3.824
In Re N F
1 1 1 2
direct
0.000 0.000 0.000
0.500 0.500 0.500
0.500 0.500 0.000
0.000 0.500 0.500
0.500 0.000 0.500
```

Summary:
Excess energy over the best structure of this formula in the dataset in meV per atom: 0.0
Crystal system: tetragonal
Space-group type: No. 123
Raw formation energy in eV/atom: -0.625